First-principles (GGA-PBE) data for crystalline AcHgPdAu at its relaxed geometry, as listed in Alexandria via LeMat-Bulk.

Summary:
Theoretical density = 12.20 g cm⁻³
Calculated volume = 199.0 Å³ per cell
Formation energy = -625 meV/atom
Total moment = 0.00 μB/atom

Lattice parameters (Å, degrees): 8.3775 4.8472 5.6331 90.00 119.56 90.00
Space group Cm (No. 8)
Asymmetric unit:
Ac: 0.0000 0.0000 0.0000
Hg: 0.4849 0.0000 0.4533
Pd: 0.2853 0.5000 0.3543
Au: 0.2203 0.0000 0.6604

First-principles (GGA-PBE) data for crystalline Ac2La6Zn at its relaxed geometry, as listed in Alexandria via LeMat-Bulk.

Summary:
Theoretical density = 6.74 g cm⁻³
Calculated volume = 666.5 Å³ per cell
Formation energy = -25 meV/atom
Total moment = 0.00 μB/atom

Lattice parameters (Å, degrees): 3.9119 17.1747 9.9199 90.00 90.00 90.00
Space group Amm2 (No. 38)
Asymmetric unit:
Ac: 0.0000 0.1668 0.0000
La: 0.0000 0.0000 0.7523
La: 0.0000 0.1259 0.3741
La: 0.5000 0.0000 0.1256
La: 0.5000 0.1871 0.6871
Zn: 0.5000 0.0000 0.5006

First-principles (GGA-PBE) data for crystalline Co3BOs at its relaxed geometry, as listed in Alexandria via LeMat-Bulk.

Summary:
Theoretical density = 11.45 g cm⁻³
Calculated volume = 54.8 Å³ per cell
Formation energy = 336 meV/atom
Total moment = 0.94 μB/atom
Energy above the most stable polymorph in this dataset = 0.000 eV per atom

Lattice parameters (Å, degrees): 3.7979 3.7979 3.7979 90.00 90.00 90.00
Space group Pm-3m (No. 221)
Asymmetric unit:
Co: 0.0000 0.0000 0.5000
B: 0.0000 0.0000 0.0000
Os: 0.5000 0.5000 0.5000

First-principles (GGA-PBE) data for crystalline LiHoI2 at its relaxed geometry, as listed in Alexandria via LeMat-Bulk.

Summary:
Energy relative to the elements, uncorrected = -747.4 meV/atom
Theoretical density = 5.28 g cm⁻³
Calculated volume = 401.8 Å³ per cell
Total moment = 0.00 μB/atom

Lattice parameters (Å, degrees): 3.9520 3.9520 29.7072 90.00 90.00 120.00
Space group R-3m (No. 166, hexagonal axes)
Asymmetric unit:
Li: 0.0000 0.0000 0.0000
Ho: 0.0000 0.0000 0.5000
I: 0.0000 0.0000 0.0960